First-principles (PBE-GGA) data for a relaxed structure of SrTb3Nd2Te6, as listed in the Alexandria database.

Calculated values
- Crystal system: monoclinic
- Formation energy (no corrections): -16.96 eV/f.u.
- Calculated volume: 379 Å³ per cell

abc: 10.0204 10.0204 8.9908
angles: 103.69 103.69 25.66
Element x y z (fractional)
Sr 0.0000 0.0000 0.0000
Tb 0.0000 0.0000 0.5000
Tb 0.3337 0.3337 0.1767
Tb 0.6663 0.6663 0.8233
Nd 0.3272 0.3272 0.6538
Nd 0.6728 0.6728 0.3462
Te 0.1617 0.1617 0.5879
Te 0.1708 0.1708 0.0775
Te 0.5001 0.5001 0.2603
Te 0.4999 0.4999 0.7397
Te 0.8292 0.8292 0.9225
Te 0.8383 0.8383 0.4121